Compound: OsW3O
Source: the Alexandria database
Functional: PBE with a Hubbard U
Structure: relaxed

Summary:
Calculated volume ... 25.7 A^3/atom
Energy ... -5.3720 eV per atom

```
OsW3O
1.0
5.045 0.000 0.000
0.000 5.045 0.000
0.000 0.000 5.045
Os W O
1 3 1
Direct
0.000 0.000 0.000
0.000 0.000 0.500
0.000 0.500 0.000
0.500 0.000 0.000
0.500 0.500 0.500
```